# CsKRb2

A geometry-optimized CsKRb2 structure (PBE, Alexandria).

a = 7.1886 Å, b = 7.1470 Å, c = 7.1470 Å
α = 90.00°, β = 90.00°, γ = 90.00°
Sites, in units of the cell vectors:
K1 0.5000 0.0000 0.0000
Rb1 0.0000 0.5000 0.0000
Rb2 0.0000 0.0000 0.5000
Cs1 0.5000 0.5000 0.5000

Results
Magnetic moment: 0.0 μB per formula unit
Calculated formation energy: 0.0 eV/f.u.
Energy relative to the lowest polymorph listed for this composition: 0.01 eV/f.u.
E_tot: -0.071 Ry per atom